Entry 1:
6
Lattice="0.0000 4.5825 4.5825 4.5825 0.0000 4.5825 4.5825 4.5825 0.0000" Properties=species:S:1:pos:R:3 comment="GGA-PBEsol Sr4OsBr, optimized geometry" final_energy_ev_per_atom=-2.61 pbc="T T T"
Sr 1.1316 1.1316 1.1316
Sr 3.4509 3.4509 1.1316
Sr 3.4509 1.1316 3.4509
Sr 1.1316 3.4509 3.4509
Os 6.8738 6.8738 6.8738
Br 4.5825 4.5825 4.5825

=====

Entry 2:
5
Lattice="5.8482 0.0000 0.0000 0.0000 5.8482 0.0000 0.0000 0.0000 4.6351" Properties=species:S:1:pos:R:3 comment="GGA-PBEsol Sr2TiOsBr, optimized geometry" final_energy_ev_per_atom=-3.93 pbc="T T T"
Sr 0.0000 2.9241 0.0000
Sr 2.9241 0.0000 0.0000
Ti 0.0000 0.0000 0.0000
Os 2.9241 2.9241 2.3176
Br 0.0000 0.0000 2.3176

=====

Entry 3:
5
Lattice="5.0558 0.0000 0.0000 0.0000 5.0558 0.0000 0.0000 0.0000 5.5562" Properties=species:S:1:pos:R:3 comment="GGA-PBEsol SrYOsBr2, optimized geometry" final_energy_ev_per_atom=-4.30 pbc="T T T"
Sr 0.0000 0.0000 0.0000
Y 2.5279 2.5279 0.0000
Os 0.0000 0.0000 2.7781
Br 0.0000 2.5279 2.7781
Br 2.5279 0.0000 2.7781

=====

Entry 4:
4
Lattice="4.9094 -1.4460 0.0000 4.9094 1.4460 0.0000 -0.2444 0.0000 4.4979" Properties=species:S:1:pos:R:3 comment="GGA-PBEsol TaOs2Br, optimized geometry" de_polymorph_ev_per_atom=0.000 pbc="T T T"
Ta 0.0000 0.0000 0.0000
Os 2.5294 0.0000 3.4598
Os 7.0450 0.0000 1.0381
Br 4.7872 0.0000 2.2490

=====

Entry 5:
4
Lattice="0.0000 3.1592 3.1592 3.1592 0.0000 3.1592 3.1592 3.1592 0.0000" Properties=species:S:1:pos:R:3 comment="GGA-PBEsol TaOs2Br, optimized geometry" de_polymorph_ev_per_atom=0.331 pbc="T T T"
Ta 0.0000 0.0000 0.0000
Os 1.5796 1.5796 1.5796
Os 3.1592 3.1592 3.1592
Br 4.7388 4.7388 4.7388

=====

Entry 6:
4
Lattice="0.0000 3.2011 3.2011 3.2011 0.0000 3.2011 3.2011 3.2011 0.0000" Properties=species:S:1:pos:R:3 comment="GGA-PBEsol TaOsBr2, optimized geometry" de_polymorph_ev_per_atom=0.076 pbc="T T T"
Ta 0.0000 0.0000 0.0000
Os 3.2011 3.2011 3.2011
Br 1.6006 1.6006 1.6006
Br 4.8017 4.8017 4.8017